# LiMg6Cd | Alexandria via LeMat-Bulk | PBE-GGA | optimized geometry
data_LiMg6Cd
_cell_length_a 6.2498
_cell_length_b 6.2498
_cell_length_c 5.1861
_cell_angle_alpha 90.00
_cell_angle_beta 90.00
_cell_angle_gamma 120.03
_space_group_name_H-M_alt 'P 1'
_space_group_IT_number 1
loop_
_space_group_symop_operation_xyz
'x,y,z'
loop_
_atom_site_label
_atom_site_fract_x
_atom_site_fract_y
_atom_site_fract_z
_atom_site_occupancy
Mg1 0.8330 0.1670 0.5000 1
Mg2 0.8360 0.6665 0.5000 1
Mg3 0.1676 0.3352 0.0000 1
Mg4 0.3335 0.1640 0.5000 1
Mg5 0.6661 0.3339 0.0000 1
Mg6 0.6648 0.8324 0.0000 1
Li1 0.1680 0.8320 0.0000 1
Cd1 0.3311 0.6689 0.5000 1
# V: 175 Å³ per cell
# ΔE to the lowest computed polymorph: 0.00 eV/f.u.
# Crystal system: orthorhombic
# Space group: No. 38